No. 1
TbErInOs after structural relaxation. Source: Alexandria via LeMat-Bulk, functional PBE-GGA.

abc: 3.4211 3.4211 8.0092
angles: 90.00 90.00 90.00
Atoms (fractional coordinates):
Tb (0.5000, 0.5000, 0.7771)
Er (0.5000, 0.5000, 0.3651)
In (0.0000, 0.0000, 0.0758)
Os (0.0000, 0.0000, 0.5667)

Summary:
space-group type: P4mm, No. 99
E above lowest polymorph: 0 kJ/mol of formula units
calculated total energy: -6.162 eV/atom

***

No. 2
VReRh after structural relaxation. Source: Alexandria via LeMat-Bulk, functional PBE-GGA.

abc: 2.6136 4.3891 4.3891
angles: 120.00 90.00 90.00
Atoms (fractional coordinates):
Re (0.1676, 0.3333, 0.6667)
Rh (0.1666, 0.0000, 0.0000)
V (0.6658, 0.6667, 0.3333)

Summary:
space-group type: P-6m2, No. 187
E above lowest polymorph: 41 kJ/mol of formula units
calculated total energy: -9.654 eV/atom

***

No. 3
Pm2AlZn12Cu3 after structural relaxation. Source: Alexandria via LeMat-Bulk, functional PBE-GGA.

abc: 6.8071 6.8071 6.8071
angles: 86.79 86.79 86.79
Atoms (fractional coordinates):
Pm (0.7488, 0.7488, 0.7488)
Pm (0.2512, 0.2512, 0.2512)
Al (0.0000, 0.0000, 0.0000)
Zn (0.4321, 0.4321, 0.8421)
Zn (0.8022, 0.8022, 0.2786)
Zn (0.2786, 0.8022, 0.8022)
Zn (0.8421, 0.4321, 0.4321)
Zn (0.8022, 0.2786, 0.8022)
Zn (0.4321, 0.8421, 0.4321)
Zn (0.5679, 0.5679, 0.1579)
Zn (0.1978, 0.1978, 0.7214)
Zn (0.7214, 0.1978, 0.1978)
Zn (0.1579, 0.5679, 0.5679)
Zn (0.1978, 0.7214, 0.1978)
Zn (0.5679, 0.1579, 0.5679)
Cu (0.5000, 0.0000, 0.0000)
Cu (0.0000, 0.5000, 0.0000)
Cu (0.0000, 0.0000, 0.5000)

Summary:
space-group type: R-3m, No. 166
calculated total energy: -2.255 eV/atom

***

Ordered E_form results: -0.37, -0.01, 0.01; unit eV/atom.